Computed, not measured: a relaxed structure of K2YSnC at the PBE level of DFT.

Calculated values
- Electronic total energy: -2.975 eV/atom

abc: 6.7007 5.8316 6.7007
angles: 90.00 90.00 90.00
Site moments in Bohr magnetons follow the coordinates.
Atoms (fractional coordinates):
Y 0.0000 0.5000 0.0000  0.10
C 0.5000 0.5000 0.5000  1.08
K 0.0000 0.0000 0.5000  0.00
K 0.5000 0.0000 0.0000  0.00
Sn 0.0000 0.0000 0.0000  0.08